# 1
First-principles (PBE) data for V6C2N after structural relaxation, as listed in the Alexandria database.

The structure in CIF format:
```
data_V6C2N
_cell_length_a 8.6510
_cell_length_b 8.6510
_cell_length_c 4.5065
_cell_angle_alpha 90.00
_cell_angle_beta 90.00
_cell_angle_gamma 120.00
_symmetry_space_group_name_H-M 'P -3 m 1'
_symmetry_Int_Tables_number 164
_symmetry_space_group_name_Hall '-P 3 2"'
loop_
_atom_site_label
_atom_site_fract_x
_atom_site_fract_y
_atom_site_fract_z
V1 0.1081 0.5540 0.2453
V2 0.1115 0.2229 0.2482
V3 0.2214 0.4428 0.7554
C1 0.0000 0.3337 0.5000
N1 0.0000 0.0000 0.5000
N2 0.3333 0.6667 0.9984
```

Formation energy without anion corrections ... -646 meV/atom
Crystal system ... trigonal
VASP energy ... -261.901 eV per cell


# 2
First-principles (PBE) data for V6CN3 after structural relaxation, as listed in the Alexandria database.

The structure in CIF format:
```
data_V6CN3
_cell_length_a 4.9528
_cell_length_b 4.9528
_cell_length_c 14.1547
_cell_angle_alpha 90.00
_cell_angle_beta 90.00
_cell_angle_gamma 120.00
_symmetry_space_group_name_H-M 'R 3'
_symmetry_Int_Tables_number 146
_symmetry_space_group_name_Hall 'R 3'
loop_
_atom_site_label
_atom_site_fract_x
_atom_site_fract_y
_atom_site_fract_z
V1 0.0127 0.6689 0.0000
V2 0.0154 0.3462 0.5000
C1 0.0000 0.0000 0.2406
N1 0.0000 0.0000 0.4258
N2 0.0000 0.0000 0.7403
N3 0.0000 0.0000 0.9257
```

Formation energy without anion corrections ... -893 meV/atom
Crystal system ... trigonal
VASP energy ... -293.518 eV per cell


# 3
First-principles (PBE) data for V4CN2 after structural relaxation, as listed in the Alexandria database.

The structure in CIF format:
```
data_V4CN2
_cell_length_a 9.5200
_cell_length_b 9.9965
_cell_length_c 5.7527
_cell_angle_alpha 90.00
_cell_angle_beta 90.00
_cell_angle_gamma 90.00
_symmetry_space_group_name_H-M 'F d d 2'
_symmetry_Int_Tables_number 43
_symmetry_space_group_name_Hall 'F 2 -2d'
loop_
_atom_site_label
_atom_site_fract_x
_atom_site_fract_y
_atom_site_fract_z
V1 0.1217 0.3384 0.0000
V2 0.1225 0.3325 0.5119
C1 0.0000 0.0000 0.5056
N1 0.0168 0.2490 0.2538
```

Formation energy without anion corrections ... -786 meV/atom
Crystal system ... orthorhombic
VASP energy ... -542.833 eV per cell


# 4
First-principles (PBE) data for VCN2 after structural relaxation, as listed in the Alexandria database.

The structure in CIF format:
```
data_VCN2
_cell_length_a 2.8912
_cell_length_b 2.8912
_cell_length_c 15.2955
_cell_angle_alpha 90.00
_cell_angle_beta 90.00
_cell_angle_gamma 120.00
_symmetry_space_group_name_H-M 'R -3 m'
_symmetry_Int_Tables_number 166
_symmetry_space_group_name_Hall '-R 3 2"'
loop_
_atom_site_label
_atom_site_fract_x
_atom_site_fract_y
_atom_site_fract_z
V1 0.0000 0.0000 0.0000
C1 0.0000 0.0000 0.5000
N1 0.0000 0.0000 0.4188
```

Formation energy without anion corrections ... -108 meV/atom
Crystal system ... trigonal
VASP energy ... -106.271 eV per cell


Number 4 is which compound? VCN2


Which of these has the lowest formation energy without anion corrections? V6CN3


The lowest formation energy without anion corrections belongs to which entry? V6CN3


Repeat the fourth record exactly.
First-principles (PBE) data for VCN2 after structural relaxation, as listed in the Alexandria database.

The structure in CIF format:
```
data_VCN2
_cell_length_a 2.8912
_cell_length_b 2.8912
_cell_length_c 15.2955
_cell_angle_alpha 90.00
_cell_angle_beta 90.00
_cell_angle_gamma 120.00
_symmetry_space_group_name_H-M 'R -3 m'
_symmetry_Int_Tables_number 166
_symmetry_space_group_name_Hall '-R 3 2"'
loop_
_atom_site_label
_atom_site_fract_x
_atom_site_fract_y
_atom_site_fract_z
V1 0.0000 0.0000 0.0000
C1 0.0000 0.0000 0.5000
N1 0.0000 0.0000 0.4188
```

Formation energy without anion corrections ... -108 meV/atom
Crystal system ... trigonal
VASP energy ... -106.271 eV per cell